Entry 1:
The following is a DFT calculation (GGA-PBE) of CdPt17 after structural relaxation.

Computed properties:
Space group: P-3m1 (164)
Formation energy: 0.062 eV per atom
Energy above the most stable polymorph in this dataset: 0.000 eV/atom

Cell lengths 5.5566, 5.5566, 34.2204 Å; angles 90.00, 90.00, 120.00 degrees
Atoms (fractional coordinates):
1 Cd 0.3333 0.6667 0.2884
2 Cd 0.6667 0.3333 0.7116
3 Pt 0.0000 0.0000 0.0000
4 Pt 0.0000 0.0000 0.2041
5 Pt 0.0000 0.0000 0.7959
6 Pt 0.0000 0.5000 0.0000
7 Pt 0.0027 0.5014 0.2045
8 Pt 0.1658 0.3317 0.7289
9 Pt 0.1658 0.8342 0.7289
10 Pt 0.1667 0.3335 0.1363
11 Pt 0.1666 0.3331 0.9319
12 Pt 0.1667 0.8333 0.1363
13 Pt 0.1666 0.8334 0.9319
14 Pt 0.3317 0.1658 0.2711
15 Pt 0.3331 0.1666 0.0681
16 Pt 0.3335 0.1667 0.8637
17 Pt 0.3333 0.6667 0.0683
18 Pt 0.3333 0.6667 0.8645
19 Pt 0.4986 0.5014 0.2045
20 Pt 0.4986 0.9973 0.2045
21 Pt 0.5000 0.0000 0.0000
22 Pt 0.5000 0.5000 0.0000
23 Pt 0.5014 0.0027 0.7955
24 Pt 0.5014 0.4986 0.7955
25 Pt 0.6667 0.3333 0.1355
26 Pt 0.6667 0.3333 0.9317
27 Pt 0.6665 0.8333 0.1363
28 Pt 0.6669 0.8334 0.9319
29 Pt 0.6683 0.8342 0.7289
30 Pt 0.8334 0.1666 0.0681
31 Pt 0.8333 0.1667 0.8637
32 Pt 0.8334 0.6669 0.0681
33 Pt 0.8333 0.6665 0.8637
34 Pt 0.8342 0.1658 0.2711
35 Pt 0.8342 0.6683 0.2711
36 Pt 0.9973 0.4986 0.7955

Entry 2:
The following is a DFT calculation (GGA-PBE) of ZnTc after structural relaxation.

Computed properties:
Space group: P2_1/m (11)
Formation energy: 0.105 eV per atom
Energy above the most stable polymorph in this dataset: 0.135 eV/atom

Cell lengths 5.5144, 4.3448, 7.3413 Å; angles 90.00, 101.32, 90.00 degrees
Atoms (fractional coordinates):
1 Zn 0.0184 0.2500 0.1046
2 Zn 0.2006 0.2500 0.7827
3 Zn 0.4632 0.7500 0.8899
4 Zn 0.5368 0.2500 0.1101
5 Zn 0.7994 0.7500 0.2173
6 Zn 0.9816 0.7500 0.8954
7 Tc 0.1205 0.7500 0.5498
8 Tc 0.3117 0.7500 0.2345
9 Tc 0.3586 0.2500 0.4317
10 Tc 0.6414 0.7500 0.5683
11 Tc 0.6883 0.2500 0.7655
12 Tc 0.8795 0.2500 0.4502

Entry 3:
The following is a DFT calculation (GGA-PBE) of ErF after structural relaxation.

Computed properties:
Space group: P-6m2 (187)
Energy above the most stable polymorph in this dataset: 0.306 eV/atom

Cell lengths 3.1964, 3.1964, 3.7366 Å; angles 90.00, 90.00, 120.00 degrees
Atoms (fractional coordinates):
1 Er 0.0000 0.0000 0.0000
2 F 0.6667 0.3333 0.5000

Entry 4:
The following is a DFT calculation (GGA-PBE) of PH20IrC16N2Cl2O2F6 after structural relaxation.

Computed properties:
Space group: P-1 (2)
DFT total energy: -5.93 eV per atom

Cell lengths 7.6949, 7.7588, 8.7447 Å; angles 113.95, 91.36, 93.83 degrees
Atoms (fractional coordinates):
1 P 0.0000 0.0000 0.0000
2 H 0.0166 0.6970 0.4302
3 H 0.0554 0.2697 0.7512
4 H 0.1102 0.4897 0.7346
5 H 0.1257 0.0173 0.3735
6 H 0.1687 0.5837 0.0199
7 H 0.2012 0.9668 0.5458
8 H 0.2121 0.4456 0.2324
9 H 0.3140 0.1351 0.8346
10 H 0.3512 0.9966 0.4045
11 H 0.4110 0.7956 0.9862
12 H 0.5890 0.2044 0.0138
13 H 0.6488 0.0034 0.5955
14 H 0.6859 0.8649 0.1654
15 H 0.7879 0.5544 0.7676
16 H 0.7988 0.0332 0.4542
17 H 0.8313 0.4163 0.9801
18 H 0.8743 0.9827 0.6265
19 H 0.8898 0.5103 0.2654
20 H 0.9446 0.7303 0.2488
21 H 0.9834 0.3030 0.5698
22 Ir 0.5000 0.5000 0.5000
23 C 0.0900 0.3357 0.6651
24 C 0.2311 0.0443 0.4680
25 C 0.2557 0.2566 0.5784
26 C 0.2897 0.6169 0.0961
27 C 0.3102 0.5421 0.2141
28 C 0.4095 0.2995 0.7021
29 C 0.4224 0.2250 0.8218
30 C 0.4246 0.7352 0.0780
31 C 0.5754 0.2648 0.9220
32 C 0.5776 0.7750 0.1782
33 C 0.5905 0.7005 0.2979
34 C 0.6898 0.4579 0.7859
35 C 0.7103 0.3831 0.9039
36 C 0.7443 0.7434 0.4216
37 C 0.7689 0.9557 0.5320
38 C 0.9100 0.6643 0.3349
39 N 0.4575 0.5864 0.3128
40 N 0.5425 0.4136 0.6872
41 Cl 0.3651 0.7580 0.6819
42 Cl 0.6349 0.2420 0.3181
43 O 0.2878 0.3471 0.4664
44 O 0.7122 0.6529 0.5336
45 F 0.0117 0.7719 0.9416
46 F 0.0550 0.9809 0.8145
47 F 0.2050 0.0399 0.0646
48 F 0.7950 0.9601 0.9354
49 F 0.9450 0.0191 0.1855
50 F 0.9883 0.2281 0.0584

Entry 5:
The following is a DFT calculation (GGA-PBE) of Al2FeRe after structural relaxation.

Computed properties:
Space group: F-43m (216)
DFT total energy: -7.13 eV per atom

Cell lengths 4.2526, 4.2526, 4.2526 Å; angles 60.00, 60.00, 60.00 degrees
Atoms (fractional coordinates):
1 Al 0.0000 0.0000 0.0000
2 Al 0.2500 0.2500 0.2500
3 Fe 0.7500 0.7500 0.7500
4 Re 0.5000 0.5000 0.5000

Entry 6:
The following is a DFT calculation (GGA-PBE) of TbZrPO after structural relaxation.

Computed properties:
Space group: Pmma (51)
Energy above the most stable polymorph in this dataset: 0.198 eV/atom

Cell lengths 5.0543, 4.1280, 7.3965 Å; angles 90.00, 90.00, 90.00 degrees
Atoms (fractional coordinates):
1 Tb 0.2500 0.0000 0.1451
2 Tb 0.7500 0.0000 0.8549
3 Zr 0.2500 0.5000 0.7365
4 Zr 0.7500 0.5000 0.2635
5 P 0.2500 0.5000 0.3798
6 P 0.7500 0.5000 0.6202
7 O 0.2500 0.0000 0.8292
8 O 0.7500 0.0000 0.1708